Material: Pa2Zn3Pt2
Method: DFT, PBE
State: relaxed

Output
* SG: C2/m
* D(E_F): 1.3237 states/eV per atom
* DFT formation energy: -519 meV per atom
* mass density: 12.79 g cm⁻³
* total magnetic moment: 0.00 μB/atom
* uncorrected energy: -5.504 eV per atom

Cell lengths 9.8994, 4.4795, 6.3077 Å; angles 90.00, 103.22, 90.00 degrees
Element x y z (fractional)
Pa (0.1029, 0.0000, 0.3626)
Pa (0.3971, 0.5000, 0.6374)
Pa (0.6029, 0.5000, 0.3626)
Pa (0.8971, 0.0000, 0.6374)
Zn (0.0000, 0.5000, 0.0000)
Zn (0.2276, 0.0000, 0.8837)
Zn (0.2724, 0.5000, 0.1163)
Zn (0.5000, 0.0000, 0.0000)
Zn (0.7276, 0.5000, 0.8837)
Zn (0.7724, 0.0000, 0.1163)
Pt (0.1226, 0.5000, 0.6750)
Pt (0.3774, 0.0000, 0.3250)
Pt (0.6226, 0.0000, 0.6750)
Pt (0.8774, 0.5000, 0.3250)